[1]
VASP calculation (GGA-PBE) on a geometry-optimized Pr4ZnPCl2 structure.

Structure (POSCAR):
```
Pr4ZnPCl2
1.0
4.158 0.000 0.000
0.000 7.399 -0.196
0.000 2.557 6.897
Pr Zn Cl P
4 1 2 1
direct
0.000 0.264 0.252
0.000 0.736 0.748
0.500 0.726 0.267
0.500 0.274 0.733
0.500 0.500 0.000
0.500 0.000 0.500
0.000 0.000 0.000
0.000 0.500 0.500
```

Output
**E_form (uncorrected)**: -1206 meV per atom
**Raw total energy**: -0.360 Ry per atom
**Density of states at the Fermi level**: 0.55 states/eV/atom
**Size of the total moment**: 0.000 μB per atom

[2]
VASP calculation (GGA-PBE) on a geometry-optimized PW2Se structure.

Structure (POSCAR):
```
PW2Se
1.0
1.623 1.044 -2.272
-2.942 -0.063 -0.477
-0.634 7.383 2.941
P W Se
1 2 1
direct
0.500 0.500 0.500
0.000 0.000 0.277
0.000 0.000 0.723
0.500 0.500 0.000
```

Output
**E_form (uncorrected)**: 591 meV per atom
**Raw total energy**: -0.596 Ry per atom
**Excess energy over the best structure of this formula in the dataset**: 0.561 eV/atom
**Density of states at the Fermi level**: 1.07 states/eV/atom
**Size of the total moment**: 0.000 μB per atom

[3]
VASP calculation (GGA-PBE) on a geometry-optimized Mg3CdSe4 structure.

Structure (POSCAR):
```
Mg3CdSe4
1.0
6.045 0.000 0.000
0.000 6.045 0.000
0.000 0.000 6.045
Cd Se Mg
1 4 3
direct
0.000 0.000 0.000
0.744 0.256 0.744
0.744 0.744 0.256
0.256 0.744 0.744
0.256 0.256 0.256
0.000 0.500 0.500
0.500 0.500 0.000
0.500 0.000 0.500
```

Output
**E_form (uncorrected)**: -1098 meV per atom
**Raw total energy**: -0.261 Ry per atom
**Density of states at the Fermi level**: 0.00 states/eV/atom
**Size of the total moment**: 0.000 μB per atom

[4]
VASP calculation (GGA-PBE) on a geometry-optimized Ho5GaHg2 structure.

Structure (POSCAR):
```
Ho5GaHg2
1.0
7.617 0.000 0.000
0.000 7.617 0.000
-3.809 -3.809 7.430
Ho Hg Ga
10 4 2
direct
0.000 0.000 0.000
0.180 0.009 0.689
0.500 0.500 0.000
0.009 0.509 0.689
0.509 0.680 0.689
0.680 0.180 0.689
0.491 0.320 0.311
0.991 0.491 0.311
0.820 0.991 0.311
0.320 0.820 0.311
0.366 0.866 0.000
0.134 0.366 0.000
0.634 0.134 0.000
0.866 0.634 0.000
0.750 0.750 0.500
0.250 0.250 0.500
```

Output
**Raw total energy**: -0.270 Ry per atom
**Density of states at the Fermi level**: 0.92 states/eV/atom
**Size of the total moment**: 0.000 μB per atom

[5]
VASP calculation (GGA-PBE) on a geometry-optimized ReNi3B structure.

Structure (POSCAR):
```
ReNi3B
1.0
3.817 0.000 0.000
0.000 3.817 0.000
0.000 0.000 3.817
Ni B Re
3 1 1
direct
0.000 0.500 0.000
0.000 0.000 0.500
0.500 0.000 0.000
0.000 0.000 0.000
0.500 0.500 0.500
```

Output
**Raw total energy**: -0.509 Ry per atom
**Excess energy over the best structure of this formula in the dataset**: 0.000 eV/atom
**Density of states at the Fermi level**: 1.40 states/eV/atom
**Size of the total moment**: 0.146 μB per atom

[6]
VASP calculation (GGA-PBE) on a geometry-optimized AcSn2Ir structure.

Structure (POSCAR):
```
AcSn2Ir
1.0
-5.362 -0.379 -0.788
-3.027 -3.044 3.330
-3.364 1.997 3.200
Ir Sn Ac
1 2 1
direct
0.000 0.000 0.000
0.233 0.233 0.300
0.767 0.767 0.700
0.500 0.500 0.500
```

Output
**Raw total energy**: -0.394 Ry per atom
**Excess energy over the best structure of this formula in the dataset**: 0.536 eV/atom
**Density of states at the Fermi level**: 0.48 states/eV/atom
**Size of the total moment**: 0.000 μB per atom

[7]
VASP calculation (GGA-PBE) on a geometry-optimized TbDy4Tl2 structure.

Structure (POSCAR):
```
TbDy4Tl2
1.0
10.823 0.000 0.000
0.000 6.231 -2.883
0.000 -0.659 6.750
Dy Tl Tb
8 4 2
direct
0.750 0.500 0.500
0.250 0.000 0.500
0.169 0.500 0.000
0.669 0.000 0.000
0.831 0.500 0.000
0.331 0.000 0.000
0.750 0.000 0.500
0.250 0.500 0.500
0.500 0.225 0.450
0.000 0.725 0.450
0.000 0.275 0.550
0.500 0.775 0.550
0.000 0.000 0.000
0.500 0.500 0.000
```

Output
**Raw total energy**: -0.295 Ry per atom
**Excess energy over the best structure of this formula in the dataset**: 0.000 eV/atom
**Density of states at the Fermi level**: 1.58 states/eV/atom
**Size of the total moment**: 0.000 μB per atom

[8]
VASP calculation (GGA-PBE) on a geometry-optimized GaBCl2 structure.

Structure (POSCAR):
```
GaBCl2
1.0
1.887 0.000 8.427
-0.944 1.634 8.427
-0.944 -1.634 8.427
Cl B Ga
2 1 1
direct
0.888 0.888 0.888
0.112 0.112 0.112
0.500 0.500 0.500
0.000 0.000 0.000
```

Output
**E_form (uncorrected)**: 534 meV per atom
**Raw total energy**: -0.207 Ry per atom
**Excess energy over the best structure of this formula in the dataset**: 0.238 eV/atom
**Density of states at the Fermi level**: 0.63 states/eV/atom
**Size of the total moment**: 0.000 μB per atom